# 1
A geometry-optimized LaScMo2 structure. Source: the Alexandria database, functional PBE-GGA.

abc: 7.804 7.804 5.683
angles: 90.00 90.00 90.00
Space group I-42d (No. 122)
One atom of each set of equivalent atoms:
La (0.000, 0.000, 0.000)
Sc (0.000, 0.000, 0.500)
Mo (0.231, 0.250, 0.625)

- calculated density (g/cm³) = 7.2


# 2
A geometry-optimized LaScMo2 structure. Source: the Alexandria database, functional PBE-GGA.

abc: 5.704 10.088 2.816
angles: 90.00 90.00 90.00
Space group Cmmm (No. 65)
One atom of each set of equivalent atoms:
La (0.000, 0.000, 0.000)
Sc (0.000, 0.500, 0.000)
Mo (0.250, 0.250, 0.500)

- calculated density (g/cm³) = 7.7


Number 1: energy relative to the elements 366 kJ/mol of formula units. Number 2: energy relative to the elements 225 kJ/mol of formula units.